No. 1
{
  "formula": "AlCr2Cu",
  "functional": "PBE-GGA",
  "state": "relaxed",
  "formation_energy_ev_per_atom": 0.2040,
  "crystal_system": "trigonal",
  "magnetic_moment_mub_per_cell": 0.144,
  "cell": [[1.297, 0.749, 8.626], [-1.297, 0.749, 8.626], [0.000, -1.498, 8.626]],
  "species": ["Al", "Cr", "Cr", "Cu"],
  "fractional_positions": [[0.000, 0.000, 0.000], [0.250, 0.250, 0.250], [0.501, 0.501, 0.501], [0.751, 0.751, 0.751]]
}


No. 2
{
  "formula": "La2Tm3",
  "functional": "PBE-GGA",
  "state": "relaxed",
  "relative_energy_ev_per_atom": 0.000,
  "formation_energy_ev_per_atom": 0.1264,
  "crystal_system": "orthorhombic",
  "magnetic_moment_mub_per_cell": 0.000,
  "cell": [[-3.355, 8.044, 3.112], [3.355, -8.044, 3.112], [3.355, 8.044, -3.112]],
  "species": ["La", "La", "La", "La", "Tm", "Tm", "Tm", "Tm", "Tm", "Tm"],
  "fractional_positions": [[0.191, 0.147, 0.337], [0.309, 0.647, 0.956], [0.691, 0.353, 0.044], [0.809, 0.853, 0.663], [0.089, 0.619, 0.708], [0.250, 0.250, 0.000], [0.411, 0.119, 0.530], [0.589, 0.881, 0.470], [0.750, 0.750, 0.000], [0.911, 0.381, 0.292]]
}


No. 3
{
  "formula": "ErSbH",
  "functional": "PBE-GGA",
  "state": "relaxed",
  "relative_energy_ev_per_atom": 0.507,
  "crystal_system": "tetragonal",
  "magnetic_moment_mub_per_cell": 0.000,
  "cell": [[-2.176, 2.176, 3.628], [2.176, -2.176, 3.628], [2.176, 2.176, -3.628]],
  "species": ["Er", "Sb", "H"],
  "fractional_positions": [[0.000, 0.000, 0.000], [0.565, 0.565, 0.000], [0.283, 0.283, 0.000]]
}


No. 4
{
  "formula": "AlHg2Pt",
  "functional": "PBE-GGA",
  "state": "relaxed",
  "formation_energy_ev_per_atom": -0.1884,
  "crystal_system": "monoclinic",
  "magnetic_moment_mub_per_cell": 0.000,
  "cell": [[4.105, -1.914, 0.000], [4.105, 1.914, 0.000], [-3.413, 0.000, 5.196]],
  "species": ["Al", "Hg", "Hg", "Pt"],
  "fractional_positions": [[0.000, 0.000, 0.000], [0.586, 0.586, 0.692], [0.771, 0.771, 0.390], [0.349, 0.349, 0.092]]
}


No. 5
{
  "formula": "SrPtCl",
  "functional": "PBE-GGA",
  "state": "relaxed",
  "relative_energy_ev_per_atom": 0.000,
  "e_form_raw_ev_per_atom": -0.8080,
  "crystal_system": "tetragonal",
  "magnetic_moment_mub_per_cell": 0.000,
  "cell": [[-1.702, 1.702, 6.737], [1.702, -1.702, 6.737], [1.702, 1.702, -6.737]],
  "species": ["Sr", "Pt", "Cl"],
  "fractional_positions": [[0.000, 0.000, 0.000], [0.347, 0.347, 0.000], [0.624, 0.624, 0.000]]
}


No. 6
{
  "formula": "GaSb2N",
  "functional": "PBE-GGA",
  "state": "relaxed",
  "relative_energy_ev_per_atom": 0.560,
  "e_form_raw_ev_per_atom": 1.0279,
  "crystal_system": "cubic",
  "magnetic_moment_mub_per_cell": 0.799,
  "cell": [[0.000, 3.356, 3.356], [3.356, 0.000, 3.356], [3.356, 3.356, 0.000]],
  "species": ["Ga", "Sb", "Sb", "N"],
  "fractional_positions": [[0.000, 0.000, 0.000], [0.250, 0.250, 0.250], [0.750, 0.750, 0.750], [0.500, 0.500, 0.500]]
}


No. 7
{
  "formula": "Na3Y2TeSe6",
  "functional": "PBE-GGA",
  "state": "relaxed",
  "e_form_raw_ev_per_atom": -1.2024,
  "crystal_system": "monoclinic",
  "magnetic_moment_mub_per_cell": 1.013,
  "cell": [[3.599, -6.354, 0.000], [3.599, 6.354, 0.000], [-2.354, 0.000, 6.997]],
  "species": ["Na", "Na", "Na", "Y", "Y", "Te", "Se", "Se", "Se", "Se", "Se", "Se"],
  "fractional_positions": [[0.000, 0.000, 0.000], [0.340, 0.660, 0.000], [0.660, 0.340, 0.000], [0.170, 0.830, 0.500], [0.830, 0.170, 0.500], [0.500, 0.500, 0.500], [0.075, 0.419, 0.262], [0.244, 0.244, 0.720], [0.419, 0.075, 0.262], [0.581, 0.925, 0.738], [0.756, 0.756, 0.280], [0.925, 0.581, 0.738]]
}


No. 8
{
  "formula": "BaYW2",
  "functional": "PBE-GGA",
  "state": "relaxed",
  "relative_energy_ev_per_atom": 0.770,
  "formation_energy_ev_per_atom": 1.3279,
  "crystal_system": "orthorhombic",
  "magnetic_moment_mub_per_cell": 0.000,
  "cell": [[2.933, -5.328, 0.000], [2.933, 5.328, 0.000], [0.000, 0.000, 2.951]],
  "species": ["Ba", "Y", "W", "W"],
  "fractional_positions": [[0.000, 0.000, 0.000], [0.500, 0.500, 0.000], [0.000, 0.500, 0.500], [0.500, 0.000, 0.500]]
}